No. 1
Tm2CrGaO6 | Alexandria | GGA+U | relaxed; DFT total energy = -74.67 eV per formula unit; calculated volume = 12.64 A^3/atom; SG = No. 99
1.0
-0.269 2.626 -3.859
-5.190 -0.199 0.227
-0.037 4.297 2.927
Tm Cr Ga O
2 1 1 6
direct
0.997 0.500 0.000
0.997 0.000 0.500
0.604 0.500 0.500
0.578 0.000 0.000
0.725 0.246 0.246
0.725 0.246 0.754
0.186 0.500 0.500
0.185 0.000 0.000
0.725 0.754 0.754
0.725 0.754 0.246

No. 2
UCrGa2O8 | Alexandria | GGA+U | relaxed; DFT total energy = -87.19 eV per formula unit; calculated volume = 12.22 A^3/atom; SG = No. 119
1.0
5.736 0.512 0.000
-2.085 5.367 0.000
-1.825 -2.940 4.603
U Cr Ga O
1 1 2 8
direct
0.250 0.750 0.500
0.000 0.000 0.000
0.750 0.250 0.500
0.500 0.500 0.000
0.353 0.066 0.288
0.317 0.517 0.200
0.317 0.117 0.800
0.778 0.066 0.712
0.883 0.683 0.200
0.934 0.222 0.288
0.934 0.647 0.712
0.483 0.683 0.800

No. 3
VCrGa2O6 | Alexandria | GGA+U | relaxed; DFT total energy = -69.86 eV per formula unit; calculated volume = 10.34 A^3/atom; SG = No. 146
1.0
-0.479 -3.263 -3.892
-3.036 -4.074 0.447
-4.696 0.005 -2.770
V Cr Ga O
1 1 2 6
direct
0.814 0.814 0.558
0.317 0.317 0.049
0.524 0.524 0.427
0.022 0.022 0.933
0.611 0.220 0.257
0.220 0.913 0.257
0.912 0.611 0.257
0.408 0.719 0.759
0.719 0.113 0.760
0.114 0.408 0.759

No. 4
V2CrGaO | Alexandria | GGA+U | relaxed; DFT total energy = -31.44 eV per formula unit; calculated volume = 14.74 A^3/atom; SG = No. 123
1.0
-0.571 -0.854 -4.183
-0.522 -3.844 0.856
-4.232 0.673 0.441
Cr O Ga V
1 1 1 2
direct
0.000 0.500 0.000
0.000 0.000 0.000
0.500 0.500 0.500
0.000 0.000 0.500
0.500 0.000 0.000

No. 5
VCrGaO4 | Alexandria | GGA+U | relaxed; DFT total energy = -49.84 eV per formula unit; calculated volume = 11.72 A^3/atom; SG = No. 63
1.0
-4.289 -1.312 -2.951
0.174 -1.911 5.014
-3.034 5.212 2.092
V Cr Ga O
2 2 2 8
direct
0.500 0.500 0.500
0.500 0.500 0.000
0.851 0.149 0.250
0.149 0.851 0.750
0.166 0.834 0.250
0.834 0.166 0.750
0.229 0.264 0.750
0.736 0.771 0.750
0.716 0.284 0.982
0.716 0.284 0.518
0.284 0.716 0.018
0.284 0.716 0.482
0.771 0.736 0.250
0.264 0.229 0.250

No. 6
VCr2GaO6 | Alexandria | GGA+U | relaxed; DFT total energy = -74.73 eV per formula unit; calculated volume = 10.36 A^3/atom; SG = No. 146
1.0
-4.372 1.242 -2.319
-4.428 -0.445 2.496
-2.511 4.584 1.577
V Cr Ga O
1 2 1 6
direct
0.815 0.815 0.556
0.515 0.515 0.456
0.017 0.017 0.948
0.311 0.311 0.068
0.613 0.222 0.246
0.222 0.919 0.246
0.919 0.613 0.246
0.414 0.719 0.750
0.719 0.117 0.750
0.117 0.414 0.750

No. 7
Y3Cr2Ga3O12 | Alexandria | GGA+U | relaxed; DFT total energy = -154.68 eV per formula unit; calculated volume = 12.03 A^3/atom; SG = No. 230
1.0
10.774 0.000 0.000
-3.591 10.158 0.000
-3.591 -5.079 8.797
Y Cr Ga O
12 8 12 48
direct
0.250 0.375 0.125
0.750 0.625 0.875
0.750 0.125 0.375
0.125 0.250 0.375
0.375 0.750 0.125
0.250 0.875 0.625
0.875 0.750 0.625
0.625 0.250 0.875
0.375 0.125 0.250
0.625 0.875 0.750
0.125 0.375 0.750
0.875 0.625 0.250
0.000 0.000 0.000
0.500 0.000 0.500
0.000 0.500 0.500
0.500 0.000 0.000
0.500 0.500 0.000
0.500 0.500 0.500
0.000 0.000 0.500
0.000 0.500 0.000
0.250 0.625 0.375
0.750 0.375 0.625
0.750 0.875 0.125
0.375 0.250 0.625
0.625 0.750 0.375
0.250 0.125 0.875
0.125 0.750 0.875
0.875 0.250 0.125
0.625 0.375 0.250
0.375 0.625 0.750
0.875 0.125 0.750
0.125 0.875 0.250
0.471 0.376 0.293
0.529 0.624 0.707
0.583 0.178 0.207
0.917 0.124 0.595
0.293 0.471 0.376
0.322 0.917 0.293
0.417 0.822 0.793
0.083 0.876 0.405
0.707 0.529 0.624
0.678 0.083 0.707
0.029 0.322 0.905
0.207 0.583 0.178
0.124 0.029 0.207
0.971 0.678 0.095
0.793 0.417 0.822
0.876 0.971 0.793
0.595 0.917 0.124
0.178 0.471 0.595
0.405 0.083 0.876
0.822 0.529 0.405
0.905 0.029 0.322
0.376 0.583 0.905
0.095 0.971 0.678
0.624 0.417 0.095
0.376 0.293 0.471
0.583 0.905 0.376
0.624 0.707 0.529
0.417 0.095 0.624
0.124 0.595 0.917
0.029 0.207 0.124
0.876 0.405 0.083
0.971 0.793 0.876
0.322 0.905 0.029
0.917 0.293 0.322
0.678 0.095 0.971
0.083 0.707 0.678
0.178 0.207 0.583
0.471 0.595 0.178
0.822 0.793 0.417
0.529 0.405 0.822
0.293 0.322 0.917
0.707 0.678 0.083
0.207 0.124 0.029
0.793 0.876 0.971
0.905 0.376 0.583
0.095 0.624 0.417
0.595 0.178 0.471
0.405 0.822 0.529

No. 8
ZnCrGaO4 | Alexandria | GGA+U | relaxed; DFT total energy = -44.45 eV per formula unit; calculated volume = 10.86 A^3/atom; SG = No. 74
1.0
6.003 0.000 0.000
3.001 5.186 0.085
3.001 1.661 4.913
Zn Cr Ga O
2 2 2 8
direct
0.625 0.625 0.125
0.375 0.375 0.875
0.500 0.000 0.500
0.000 0.000 0.500
0.000 0.000 0.000
0.000 0.500 0.500
0.763 0.760 0.715
0.237 0.785 0.740
0.763 0.215 0.260
0.237 0.240 0.285
0.215 0.761 0.261
0.763 0.761 0.261
0.237 0.239 0.739
0.785 0.239 0.739

No. 9
ZnCr2GaO6 | Alexandria | GGA+U | relaxed; DFT total energy = -65.67 eV per formula unit; calculated volume = 10.25 A^3/atom; SG = No. 1
1.0
-3.593 -0.153 -3.650
-1.488 -4.433 -2.005
-4.990 -1.757 1.283
Zn Cr Ga O
1 2 1 6
direct
0.808 0.792 0.607
0.518 0.515 0.451
0.014 0.013 0.960
0.309 0.295 0.073
0.620 0.245 0.216
0.229 0.910 0.239
0.918 0.618 0.232
0.388 0.754 0.733
0.724 0.136 0.750
0.133 0.384 0.755

No. 10
Zr2CrGaO | Alexandria | GGA+U | relaxed; DFT total energy = -28.00 eV per formula unit; calculated volume = 21.17 A^3/atom; SG = No. 123
1.0
4.830 0.000 0.000
0.000 4.537 0.000
0.000 0.000 4.830
O Cr Ga Zr
1 1 1 2
direct
0.500 0.500 0.500
0.000 0.000 0.000
0.000 0.500 0.000
0.000 0.000 0.500
0.500 0.000 0.000

No. 11
ZrCrGaO6 | Alexandria | GGA+U | relaxed; DFT total energy = -66.67 eV per formula unit; calculated volume = 11.15 A^3/atom; SG = No. 102
1.0
4.657 0.000 0.000
0.000 4.657 0.000
0.000 0.000 9.257
Zr Cr Ga O
2 2 2 12
direct
0.500 0.500 0.494
0.000 0.000 0.994
0.500 0.500 0.164
0.000 0.000 0.664
0.500 0.500 0.834
0.000 0.000 0.334
0.184 0.816 0.508
0.816 0.184 0.508
0.316 0.316 0.008
0.684 0.684 0.008
0.217 0.783 0.173
0.783 0.217 0.173
0.283 0.283 0.673
0.717 0.717 0.673
0.800 0.200 0.823
0.200 0.800 0.823
0.700 0.700 0.323
0.300 0.300 0.323

No. 12
ZrCrGa2O | Alexandria | GGA+U | relaxed; DFT total energy = -27.41 eV per formula unit; calculated volume = 18.86 A^3/atom; SG = No. 123
1.0
-3.331 -0.840 3.876
0.992 -3.369 0.122
3.687 1.209 3.431
O Cr Ga Zr
1 1 2 1
direct
0.000 0.500 0.000
0.000 0.000 0.000
0.000 0.000 0.500
0.500 0.000 0.000
0.500 0.500 0.500

No. 13
ZrCr2GaO6 | Alexandria | GGA+U | relaxed; DFT total energy = -78.41 eV per formula unit; calculated volume = 11.44 A^3/atom; SG = No. 1
1.0
5.141 0.007 -0.020
2.576 4.653 0.153
2.554 1.727 4.836
Zr Cr Ga O
1 2 1 6
direct
0.800 0.820 0.577
0.523 0.521 0.433
0.014 0.010 0.962
0.292 0.328 0.066
0.619 0.189 0.227
0.213 0.939 0.238
0.935 0.608 0.240
0.398 0.725 0.786
0.743 0.114 0.733
0.124 0.408 0.754